# YZn2Ir GGA-PBE relaxed
# * calculated total energy: -4.7963 eV per atom
# * total moment: 0.0 μB/f.u.
# * calculated formation energy: -328 meV per atom
# * D(E_F): 2.35 states/eV per cell
data_YZn2Ir
_symmetry_space_group_name_H-M 'P 4 m m'
_symmetry_Int_Tables_number 99
_cell_length_a 3.268
_cell_length_b 3.268
_cell_length_c 6.831
_cell_angle_alpha 90.00
_cell_angle_beta 90.00
_cell_angle_gamma 90.00
loop_
_symmetry_equiv_pos_as_xyz
'x,y,z'
'-y,x,z'
'-x,-y,z'
'y,-x,z'
'-x,y,z'
'y,x,z'
'x,-y,z'
'-y,-x,z'
loop_
_atom_site_label
_atom_site_type_symbol
_atom_site_fract_x
_atom_site_fract_y
_atom_site_fract_z
_atom_site_occupancy
Y1 Y 0.000 0.000 0.000 1
Zn1 Zn 0.000 0.000 0.541 1
Zn2 Zn 0.500 0.500 0.330 1
Ir1 Ir 0.500 0.500 0.737 1